Here is a relaxed structure of Y3CuPd2 from Alexandria. Energies are from GGA-PBE.

```
12
Lattice="-4.1739 -0.7150 -2.5857 4.4096 -0.5029 -2.2185 0.1634 -11.8098 3.0018" Properties=species:S:1:pos:R:3 pbc="T T T"
Y 0.0409 -2.9575 0.7518
Y 0.1225 -8.8522 2.2501
Y -1.2991 -1.6325 -2.2121
Y 1.6981 -11.3951 0.4098
Y -1.2176 -7.5256 -0.7142
Y 1.6166 -5.5020 -1.0881
Pd 0.0817 -5.9049 1.5009
Pd 1.5760 -2.5671 -1.8342
Pd -1.1770 -10.4606 0.0318
Pd 0.0000 0.0000 0.0000
Cu -1.2583 -4.5826 -1.4622
Cu 1.6573 -8.4450 -0.3401
```

Output
Symmetry: No. 164
Total moment (μB per formula unit): 0.00
Calculated total energy (eV per atom): -6.3102
Crystal system: trigonal
Density (g/cm3): 6.94
Energy relative to the elements (eV per atom): -0.664